(1)
Compound: Er6CuTe2
Source: the Alexandria database
Functional: GGA-PBE
Structure: relaxed

a b c (Å): 6.257 7.851 11.666
angles (deg): 90.00 121.29 90.00
Element x y z (fractional)
Er 0.089 0.200 0.458
Er 0.089 0.300 0.958
Er 0.329 0.674 0.460
Er 0.329 0.826 0.960
Er 0.380 0.031 0.243
Er 0.380 0.469 0.743
Er 0.620 0.531 0.257
Er 0.620 0.969 0.757
Er 0.671 0.174 0.040
Er 0.671 0.326 0.540
Er 0.911 0.700 0.042
Er 0.911 0.800 0.542
Cu 0.500 0.000 0.500
Cu 0.500 0.500 0.000
Te 0.138 0.110 0.741
Te 0.138 0.390 0.241
Te 0.862 0.610 0.759
Te 0.862 0.890 0.259

M_tot (μB per formula unit): 0.0
E_form (uncorrected) (eV/atom): -0.56

=====

(2)
Compound: Er5Cu2Te
Source: the Alexandria database
Functional: GGA-PBE
Structure: relaxed

a b c (Å): 8.427 8.427 8.427
angles (deg): 124.17 124.17 82.92
Element x y z (fractional)
Er 0.000 0.000 0.000
Er 0.013 0.513 0.805
Er 0.208 0.013 0.500
Er 0.292 0.792 0.805
Er 0.487 0.292 0.500
Er 0.500 0.500 0.000
Er 0.513 0.708 0.500
Er 0.708 0.208 0.195
Er 0.792 0.987 0.500
Er 0.987 0.487 0.195
Cu 0.134 0.366 0.500
Cu 0.366 0.866 0.232
Cu 0.634 0.134 0.768
Cu 0.866 0.634 0.500
Te 0.250 0.250 0.000
Te 0.750 0.750 0.000

M_tot (μB per formula unit): 0.0
E_form (uncorrected) (eV/atom): -0.46

=====

(3)
Compound: Er5CuTe4
Source: the Alexandria database
Functional: GGA-PBE
Structure: relaxed

a b c (Å): 7.412 7.412 7.412
angles (deg): 99.60 99.60 131.80
Element x y z (fractional)
Er 0.000 0.000 0.000
Er 0.233 0.404 0.637
Er 0.404 0.767 0.171
Er 0.596 0.233 0.829
Er 0.767 0.596 0.363
Cu 0.499 0.499 0.000
Te 0.087 0.691 0.778
Te 0.309 0.087 0.396
Te 0.691 0.913 0.604
Te 0.913 0.309 0.222

M_tot (μB per formula unit): 0.0
E_form (uncorrected) (eV/atom): -1.04

=====

(4)
Compound: Er3CuTe2
Source: the Alexandria database
Functional: GGA-PBE
Structure: relaxed

a b c (Å): 7.236 7.236 7.526
angles (deg): 99.29 99.29 119.98
Element x y z (fractional)
Er 0.066 0.423 0.774
Er 0.216 0.216 0.219
Er 0.423 0.066 0.774
Er 0.577 0.934 0.226
Er 0.784 0.784 0.781
Er 0.934 0.577 0.226
Cu 0.169 0.831 0.000
Cu 0.831 0.169 0.000
Te 0.000 0.000 0.500
Te 0.344 0.656 0.500
Te 0.500 0.500 0.000
Te 0.656 0.344 0.500

M_tot (μB per formula unit): 0.0
E_form (uncorrected) (eV/atom): -0.88

=====

(5)
Compound: Er2CuTe
Source: the Alexandria database
Functional: GGA-PBE
Structure: relaxed

a b c (Å): 4.050 4.050 21.854
angles (deg): 90.00 90.00 120.00
Element x y z (fractional)
Er 0.000 0.000 0.240
Er 0.000 0.000 0.760
Er 0.333 0.667 0.427
Er 0.333 0.667 0.907
Er 0.667 0.333 0.093
Er 0.667 0.333 0.573
Cu 0.000 0.000 0.500
Cu 0.333 0.667 0.167
Cu 0.667 0.333 0.833
Te 0.000 0.000 0.000
Te 0.333 0.667 0.667
Te 0.667 0.333 0.333

M_tot (μB per formula unit): 0.0
E_form (uncorrected) (eV/atom): -0.68
Energy relative to the lowest polymorph listed for this composition (eV/atom): 0.072

=====

(6)
Compound: Er6CuTe3
Source: the Alexandria database
Functional: GGA-PBE
Structure: relaxed

a b c (Å): 11.846 3.964 12.567
angles (deg): 90.00 105.81 90.00
Element x y z (fractional)
Er 0.019 0.250 0.351
Er 0.076 0.250 0.887
Er 0.272 0.750 0.319
Er 0.283 0.750 0.766
Er 0.401 0.250 0.559
Er 0.455 0.750 0.144
Er 0.545 0.250 0.856
Er 0.599 0.750 0.441
Er 0.717 0.250 0.234
Er 0.728 0.250 0.681
Er 0.924 0.750 0.113
Er 0.981 0.750 0.649
Cu 0.453 0.250 0.314
Cu 0.547 0.750 0.686
Te 0.127 0.250 0.145
Te 0.173 0.750 0.520
Te 0.341 0.250 0.960
Te 0.659 0.750 0.040
Te 0.827 0.250 0.480
Te 0.873 0.750 0.855

M_tot (μB per formula unit): 0.0
E_form (uncorrected) (eV/atom): -0.71